A plane-wave DFT calculation with PBE was carried out for YNbN2O after structural relaxation.

Summary:
Uncorrected formation energy: 2.44 eV per formula unit

The structure in POSCAR format:
```
YNbN2O
1.0
-0.536 -3.240 -2.759
3.295 1.444 -2.336
2.604 -2.332 2.233
Y N Nb O
1 2 1 1
Direct
0.000 0.000 0.000
0.500 0.000 0.000
0.000 0.500 0.000
0.500 0.500 0.500
0.000 0.000 0.500
```